VASP calculation (PBE with a Hubbard U) on a relaxed Li7Mn2Co3O12 crystal.

Cell: 5.0218 5.8819 7.7933 Å, 78.47 78.22 73.13°
With the nearest neighbours (Å) after each atom.
Space group P1 (No. 1)
One atom of each set of equivalent atoms:
Li1 0.0000 0.0000 0.0000  6 O 2.08-2.24
Li2 0.9997 0.1636 0.3265  6 O 2.08-2.13
Li3 0.0061 0.3314 0.6424  5 O 2.03-2.26
Li4 0.0074 0.6655 0.3359  6 O 2.06-2.28
Li5 0.4913 0.8374 0.1664  6 O 2.04-2.21
Li6 0.4926 0.1649 0.8233  6 O 2.05-2.22
Li7 0.5179 0.4941 0.4890  5 O 2.06-2.17
Mn1 0.4944 0.3304 0.1664  6 O 1.89-2.02
Mn2 0.9931 0.5011 0.9975  6 O 1.92-1.97
Co1 0.4978 0.9922 0.4866  6 O 1.90-2.12
Co2 0.4994 0.6692 0.8229  5 O 1.93-2.05
Co3 0.9937 0.8467 0.6493  5 O 1.86-2.08
O1 0.2347 0.5228 0.7638  2 Co 1.95-2.08, 1 Mn 1.97, 1 Li 2.14
O2 0.2368 0.6434 0.0797  2 Mn 1.93-2.00, 2 Li 2.10-2.13, 1 Co 2.16
O3 0.2473 0.1985 0.0742  2 Mn 1.93-1.95, 3 Li 2.10-2.16
O4 0.2614 0.9793 0.7447  3 Co 1.93-2.12, 2 Li 2.05-2.15
O5 0.2620 0.8343 0.4216  2 Co 1.90-2.00, 4 Li 2.07-2.10
O6 0.2790 0.3267 0.3961  1 Mn 1.89, 1 Co 2.02, 4 Li 2.06-2.12
O7 0.7252 0.0231 0.2384  1 Mn 1.89, 3 Li 2.04-2.08, 1 Co 2.04
O8 0.7370 0.3543 0.9256  2 Mn 1.96-2.02, 1 Co 2.00, 1 Li 2.16
O9 0.7450 0.4924 0.2210  2 Mn 1.92-1.94, 2 Li 2.07-2.10
O10 0.7479 0.8063 0.9053  2 Co 1.93-2.13, 1 Mn 1.95
O11 0.7504 0.1428 0.5821  2 Co 1.86-2.06, 1 Li 2.06
O12 0.7544 0.6656 0.5806  3 Co 2.02-2.07, 3 Li 2.03-2.07

Computed properties:
- crystal system = triclinic
- ρ (g cm⁻³) = 4.1
- calculated total energy (eV per atom) = -5.87
- offset from the most stable computed form (kJ/mol of formula units) = 57
- magnetization (μB/f.u.) = 16.00